# ScSiBr, relaxed, DFT GGA-PBE
# - ΔE_f (raw) (eV/atom) = -0.418
# - energy (eV/atom) = -4.893
# - N(E_F) (states/eV per cell) = 2.87
data_ScSiBr
_cell_length_a 3.246
_cell_length_b 3.246
_cell_length_c 14.222
_cell_angle_alpha 90.00
_cell_angle_beta 90.00
_cell_angle_gamma 90.00
_symmetry_space_group_name_H-M 'I 4 m m'
_symmetry_Int_Tables_number 107
_symmetry_space_group_name_Hall 'I 4 -2'
loop_
_atom_site_label
_atom_site_fract_x
_atom_site_fract_y
_atom_site_fract_z
Sc1 0.000 0.000 0.000
Si1 0.000 0.000 0.616
Br1 0.000 0.000 0.377

# V6Ga5Ge, relaxed, DFT GGA-PBE
# - energy (eV/atom) = -6.112
# - N(E_F) (states/eV per cell) = 14.76
# - energy relative to the elements (eV per atom) = 0.09
data_V6Ga5Ge
_cell_length_a 6.749
_cell_length_b 8.082
_cell_length_c 6.719
_cell_angle_alpha 90.00
_cell_angle_beta 97.05
_cell_angle_gamma 90.00
_symmetry_space_group_name_H-M 'C 1 2/m 1'
_symmetry_Int_Tables_number 12
loop_
_symmetry_equiv_pos_as_xyz
'x,y,z'
'-x,-y,-z'
'-x,y,-z'
'x,-y,z'
'x+1/2,y+1/2,z'
'-x+1/2,-y+1/2,-z'
'-x+1/2,y+1/2,-z'
'x+1/2,-y+1/2,z'
loop_
_atom_site_label
_atom_site_fract_x
_atom_site_fract_y
_atom_site_fract_z
V1 0.246 0.000 0.253
V2 0.248 0.165 0.749
Ga1 0.000 0.168 0.000
Ga2 0.000 0.335 0.500
Ga3 0.000 0.500 0.000
Ge1 0.000 0.000 0.500

# TcAg2P, relaxed, DFT GGA-PBE
# - energy (eV/atom) = -4.838
# - N(E_F) (states/eV per cell) = 2.37
# - energy relative to the elements (eV per atom) = 0.53
data_TcAg2P
_cell_length_a 2.691
_cell_length_b 2.691
_cell_length_c 9.031
_cell_angle_alpha 90.00
_cell_angle_beta 90.00
_cell_angle_gamma 90.00
_symmetry_space_group_name_H-M 'P 4/m m m'
_symmetry_Int_Tables_number 123
_symmetry_space_group_name_Hall '-P 4 2'
loop_
_atom_site_label
_atom_site_fract_x
_atom_site_fract_y
_atom_site_fract_z
Tc1 0.000 0.000 0.000
Ag1 0.500 0.500 0.248
P1 0.000 0.000 0.500

# Ho5TcBi2, relaxed, DFT GGA-PBE
# - energy (eV/atom) = -5.195
# - N(E_F) (states/eV per cell) = 27.05
# - energy relative to the elements (eV per atom) = -0.07
data_Ho5TcBi2
_cell_length_a 5.535
_cell_length_b 16.204
_cell_length_c 13.778
_cell_angle_alpha 90.00
_cell_angle_beta 90.00
_cell_angle_gamma 90.00
_symmetry_space_group_name_H-M 'C m c m'
_symmetry_Int_Tables_number 63
_symmetry_space_group_name_Hall '-C 2c 2'
loop_
_atom_site_label
_atom_site_fract_x
_atom_site_fract_y
_atom_site_fract_z
Ho1 0.000 0.055 0.117
Ho2 0.000 0.274 0.098
Ho3 0.000 0.301 0.750
Tc1 0.000 0.167 0.250
Bi1 0.000 0.142 0.589

# CdRe2Au, relaxed, DFT GGA-PBE
# - energy (eV/atom) = -6.770
# - N(E_F) (states/eV per cell) = 6.17
# - energy relative to the elements (eV per atom) = 0.50
data_CdRe2Au
_cell_length_a 9.258
_cell_length_b 2.811
_cell_length_c 5.218
_cell_angle_alpha 90.00
_cell_angle_beta 97.76
_cell_angle_gamma 90.00
_symmetry_space_group_name_H-M 'C 1 m 1'
_symmetry_Int_Tables_number 8
loop_
_symmetry_equiv_pos_as_xyz
'x,y,z'
'x,-y,z'
'x+1/2,y+1/2,z'
'x+1/2,-y+1/2,z'
loop_
_atom_site_label
_atom_site_fract_x
_atom_site_fract_y
_atom_site_fract_z
Cd1 0.000 0.000 0.000
Re1 0.002 0.500 0.520
Re2 0.244 0.000 0.693
Au1 0.254 0.500 0.220

# CdCuIr, relaxed, DFT GGA-PBE
# - energy (eV/atom) = -4.431
# - N(E_F) (states/eV per cell) = 5.64
# - energy relative to the elements (eV per atom) = 0.19
data_CdCuIr
_cell_length_a 2.943
_cell_length_b 2.943
_cell_length_c 10.736
_cell_angle_alpha 90.00
_cell_angle_beta 90.00
_cell_angle_gamma 90.00
_symmetry_space_group_name_H-M 'I 4 m m'
_symmetry_Int_Tables_number 107
_symmetry_space_group_name_Hall 'I 4 -2'
loop_
_atom_site_label
_atom_site_fract_x
_atom_site_fract_y
_atom_site_fract_z
Cd1 0.000 0.000 0.000
Cu1 0.000 0.000 0.674
Ir1 0.000 0.000 0.316

# SrLiTc, relaxed, DFT GGA-PBE
# - energy (eV/atom) = -3.885
# - N(E_F) (states/eV per cell) = 1.75
# - energy relative to the elements (eV per atom) = 0.77
data_SrLiTc
_cell_length_a 5.1080
_cell_length_b 5.1080
_cell_length_c 2.7604
_cell_angle_alpha 90.00
_cell_angle_beta 90.00
_cell_angle_gamma 120.00
_symmetry_space_group_name_H-M 'P 3 m 1'
_symmetry_Int_Tables_number 156
loop_
_symmetry_equiv_pos_as_xyz
'x,y,z'
'-y,x-y,z'
'-x+y,-x,z'
'-y,-x,z'
'-x+y,y,z'
'x,x-y,z'
loop_
_atom_site_label
_atom_site_fract_x
_atom_site_fract_y
_atom_site_fract_z
Sr1 0.0000 0.0000 0.0000
Li1 0.3333 0.6667 0.5801
Tc1 0.6667 0.3333 0.4788

# Zn3CdSn3, relaxed, DFT GGA-PBE
# - energy (eV/atom) = -1.997
# - N(E_F) (states/eV per cell) = 8.46
# - energy relative to the elements (eV per atom) = 0.40
data_Zn3CdSn3
_cell_length_a 7.536
_cell_length_b 7.536
_cell_length_c 7.536
_cell_angle_alpha 90.00
_cell_angle_beta 90.00
_cell_angle_gamma 90.00
_symmetry_space_group_name_H-M 'P m -3 n'
_symmetry_Int_Tables_number 223
_symmetry_space_group_name_Hall '-P 4n 2 3'
loop_
_atom_site_label
_atom_site_fract_x
_atom_site_fract_y
_atom_site_fract_z
Zn1 0.000 0.250 0.500
Cd1 0.000 0.000 0.000
Sn1 0.000 0.500 0.250

# La2CuRu2, relaxed, DFT GGA-PBE
# - energy (eV/atom) = -6.645
# - N(E_F) (states/eV per cell) = 15.13
# - energy relative to the elements (eV per atom) = -0.14
data_La2CuRu2
_cell_length_a 9.500
_cell_length_b 5.540
_cell_length_c 8.475
_cell_angle_alpha 90.00
_cell_angle_beta 104.84
_cell_angle_gamma 90.00
_symmetry_space_group_name_H-M 'C 1 2/c 1'
_symmetry_Int_Tables_number 15
loop_
_symmetry_equiv_pos_as_xyz
'x,y,z'
'-x,-y,-z'
'-x,y,-z+1/2'
'x,-y,z+1/2'
'x+1/2,y+1/2,z'
'-x+1/2,-y+1/2,-z'
'-x+1/2,y+1/2,-z+1/2'
'x+1/2,-y+1/2,z+1/2'
loop_
_atom_site_label
_atom_site_fract_x
_atom_site_fract_y
_atom_site_fract_z
La1 0.143 0.162 0.143
Cu1 0.000 0.364 0.750
Ru1 0.141 0.381 0.515

# CaTmMgTl, relaxed, DFT GGA-PBE
# - energy (eV/atom) = -2.837
# - N(E_F) (states/eV per cell) = 8.11
# - energy relative to the elements (eV per atom) = -0.23
data_CaTmMgTl
_cell_length_a 7.608
_cell_length_b 7.608
_cell_length_c 7.608
_cell_angle_alpha 90.00
_cell_angle_beta 90.00
_cell_angle_gamma 90.00
_symmetry_space_group_name_H-M 'F -4 3 m'
_symmetry_Int_Tables_number 216
_symmetry_space_group_name_Hall 'F -4 2 3'
loop_
_atom_site_label
_atom_site_fract_x
_atom_site_fract_y
_atom_site_fract_z
Ca1 0.000 0.000 0.000
Tm1 0.000 0.000 0.500
Mg1 0.250 0.250 0.750
Tl1 0.250 0.250 0.250

# TaCrTcTe2, relaxed, DFT GGA-PBE
# - ΔE_f (raw) (eV/atom) = 1.483
# - energy (eV/atom) = -6.142
# - N(E_F) (states/eV per cell) = 6.03
data_TaCrTcTe2
_cell_length_a 5.352
_cell_length_b 5.352
_cell_length_c 4.895
_cell_angle_alpha 90.00
_cell_angle_beta 90.00
_cell_angle_gamma 90.00
_symmetry_space_group_name_H-M 'P 4/m m m'
_symmetry_Int_Tables_number 123
_symmetry_space_group_name_Hall '-P 4 2'
loop_
_atom_site_label
_atom_site_fract_x
_atom_site_fract_y
_atom_site_fract_z
Ta1 0.000 0.000 0.000
Cr1 0.000 0.000 0.500
Tc1 0.500 0.500 0.500
Te1 0.000 0.500 0.000

# Y5Si2Sn, relaxed, DFT GGA-PBE
# - ΔE_f (raw) (eV/atom) = -0.722
# - energy (eV/atom) = -6.618
# - N(E_F) (states/eV per cell) = 34.06
data_Y5Si2Sn
_cell_length_a 7.782
_cell_length_b 7.782
_cell_length_c 13.685
_cell_angle_alpha 90.00
_cell_angle_beta 90.00
_cell_angle_gamma 90.00
_symmetry_space_group_name_H-M 'I 4/m c m'
_symmetry_Int_Tables_number 140
_symmetry_space_group_name_Hall '-I 4 2c'
loop_
_atom_site_label
_atom_site_fract_x
_atom_site_fract_y
_atom_site_fract_z
Y1 0.000 0.000 0.000
Y2 0.161 0.339 0.140
Si1 0.138 0.362 0.500
Sn1 0.000 0.000 0.250

- Among the records above, which one has the highest energy?
  Zn3CdSn3

- What is the N(E_F) in the eighth record?
  8.46 states/eV per cell

- Number 11 is which compound?
  TaCrTcTe2